P) 5
Lattice="5.414 0.000 0.000 0.000 5.414 0.000 0.000 0.000 5.414" Properties=species:S:1:pos:R:3 comment="Na3HgRh, optimized geometry, DFT PBE-GGA" crystal_system=cubic spacegroup="Pm-3m, No. 221" pbc="T T T"
Na 0.000 0.000 2.707
Na 0.000 2.707 0.000
Na 2.707 0.000 0.000
Hg 2.707 2.707 2.707
Rh 0.000 0.000 0.000

---

Q) 5
Lattice="5.432 0.000 0.000 0.000 5.432 0.000 0.000 0.000 5.432" Properties=species:S:1:pos:R:3 comment="Na3HgRh, optimized geometry, DFT PBE-GGA" crystal_system=cubic spacegroup="Pm-3m, No. 221" pbc="T T T"
Na 0.000 0.000 2.716
Na 0.000 2.716 0.000
Na 2.716 0.000 0.000
Hg 0.000 0.000 0.000
Rh 2.716 2.716 2.716

---

Most favorable structure: P). The second most favorable one is 31.3 kJ/mol of atoms above it.

---

P) 10
Lattice="8.072 0.000 0.000 0.000 8.072 0.000 0.000 0.000 4.193" Properties=species:S:1:pos:R:3 comment="NaHg2S2, optimized geometry, DFT PBE-GGA" crystal_system=tetragonal spacegroup="P4/mbm, No. 127" pbc="T T T"
Na 0.000 0.000 0.000
Na 4.036 4.036 0.000
Hg 0.983 3.053 2.097
Hg 3.053 7.089 2.097
Hg 5.020 0.983 2.097
Hg 7.089 5.020 2.097
S 1.965 2.071 0.000
S 2.071 6.107 0.000
S 6.001 1.965 0.000
S 6.107 6.001 0.000

---

Q) 5
Lattice="-2.574 2.574 4.682 2.574 -2.574 4.682 2.574 2.574 -4.682" Properties=species:S:1:pos:R:3 comment="NaHg2S2, optimized geometry, DFT PBE-GGA" crystal_system=tetragonal spacegroup="I4/mmm, No. 139" pbc="T T T"
Na 0.000 0.000 0.000
Hg 0.000 0.000 3.279
Hg 0.000 0.000 6.085
S 2.574 0.000 2.341
S 0.000 2.574 2.341

---

R) 10
Lattice="5.003 -4.950 0.000 5.003 4.950 0.000 -4.962 0.000 5.164" Properties=species:S:1:pos:R:3 comment="NaHg2S2, optimized geometry, DFT PBE-GGA" crystal_system=monoclinic spacegroup="C2/c, No. 15" pbc="T T T"
Na 1.282 3.712 3.873
Na 3.763 -3.712 1.291
Hg -1.220 1.231 4.612
Hg 1.261 -1.231 2.030
Hg 3.784 1.231 3.134
Hg 6.265 -1.231 0.552
S 3.763 3.422 1.291
S 1.282 0.947 3.873
S 3.763 -0.947 1.291
S 1.282 -3.422 3.873

---

Most favorable structure: R). The second most favorable one is 1.0 kJ/mol of atoms above it.

---

P) 28
Lattice="7.761 -6.877 0.000 7.761 6.877 0.000 -3.535 0.000 6.512" Properties=species:S:1:pos:R:3 comment="Na2Hg2S3, optimized geometry, DFT PBE-GGA" crystal_system=monoclinic spacegroup="C2/c, No. 15" pbc="T T T"
Na 5.110 5.916 4.884
Na 6.877 3.844 1.628
Na 4.836 1.160 2.249
Na 3.069 -1.160 5.505
Na 8.919 1.160 1.007
Na 7.151 -1.160 4.263
Na 5.110 -3.844 4.884
Na 6.877 -5.916 1.628
Hg 2.718 3.560 4.886
Hg 0.382 1.020 5.240
Hg 2.149 -1.020 1.984
Hg 7.502 3.560 4.882
Hg 4.486 -3.560 1.630
Hg 9.838 1.020 4.528
Hg 11.605 -1.020 1.272
Hg 9.269 -3.560 1.626
S 1.876 1.034 0.381
S 4.210 3.797 2.872
S 0.109 -1.034 3.636
S 2.662 1.486 6.329
S 9.544 3.797 0.384
S 7.558 1.486 3.439
S 4.430 -1.486 3.073
S 2.443 -3.797 6.128
S 9.325 -1.486 0.183
S 11.878 1.034 2.875
S 7.777 -3.797 3.640
S 10.111 -1.034 6.131

---

Q) 7
Lattice="6.841 -2.079 0.000 6.841 2.079 0.000 -2.388 0.000 6.474" Properties=species:S:1:pos:R:3 comment="Na2Hg2S3, optimized geometry, DFT PBE-GGA" crystal_system=monoclinic spacegroup="C2/m, No. 12" pbc="T T T"
Na 0.604 0.000 2.448
Na 10.690 0.000 4.026
Hg 4.154 0.000 1.192
Hg 7.140 0.000 5.282
S 2.049 0.000 5.119
S 5.647 0.000 3.237
S 9.245 0.000 1.355

---

Most favorable structure: P). The second most favorable one is 3.9 kJ/mol of atoms above it.

---

P) 4
Lattice="2.241 1.294 6.385 -2.241 1.294 6.385 0.000 -2.588 6.385" Properties=species:S:1:pos:R:3 comment="Na2HgS, optimized geometry, DFT PBE-GGA" crystal_system=trigonal spacegroup="R-3m, No. 166" pbc="T T T"
Na 0.000 0.000 4.160
Na 0.000 0.000 14.996
Hg 0.000 0.000 0.000
S 0.000 0.000 9.578

---

Q) 4
Lattice="0.000 3.583 3.583 3.583 0.000 3.583 3.583 3.583 0.000" Properties=species:S:1:pos:R:3 comment="Na2HgS, optimized geometry, DFT PBE-GGA" crystal_system=cubic spacegroup="Fm-3m, No. 225" pbc="T T T"
Na 1.791 1.791 1.791
Na 5.374 5.374 5.374
Hg 0.000 0.000 0.000
S 3.583 3.583 3.583

---

Most favorable structure: P). The second most favorable one is 4.4 kJ/mol of atoms above it.

---

P) 6
Lattice="0.000 4.307 4.307 4.307 0.000 4.307 4.307 4.307 0.000" Properties=species:S:1:pos:R:3 comment="NaHg4Sb, optimized geometry, DFT PBE-GGA" crystal_system=cubic spacegroup="F-43m, No. 216" pbc="T T T"
Na 0.000 0.000 0.000
Hg 5.384 3.230 3.230
Hg 3.230 5.384 3.230
Hg 3.230 3.230 5.384
Hg 5.384 5.384 5.384
Sb 2.154 2.154 2.154

---

Q) 12
Lattice="5.482 0.000 0.000 -2.120 5.805 0.000 -0.014 -0.052 10.167" Properties=species:S:1:pos:R:3 comment="NaHg4Sb, optimized geometry, DFT PBE-GGA" crystal_system=triclinic spacegroup="P-1, No. 2" pbc="T T T"
Na 0.051 2.107 2.539
Na 3.297 3.646 7.628
Hg -0.008 0.985 9.168
Hg 0.004 0.993 6.101
Hg 0.531 3.893 5.486
Hg 0.538 3.884 9.746
Hg 2.810 1.869 0.421
Hg 2.816 1.860 4.681
Hg 3.343 4.760 4.065
Hg 3.355 4.768 0.999
Sb 0.608 5.543 2.546
Sb 2.740 0.210 7.621

---

Most favorable structure: Q). The second most favorable one is 11.6 kJ/mol of atoms above it.

---

P) 10
Lattice="6.385 0.000 0.000 0.000 5.310 0.000 -2.661 0.000 8.133" Properties=species:S:1:pos:R:3 comment="Na3HgSb, optimized geometry, DFT PBE-GGA" crystal_system=monoclinic spacegroup="P2_1/m, No. 11" pbc="T T T"
Na -0.238 1.328 3.968
Na 1.203 3.983 2.430
Na -0.347 1.328 7.503
Na 4.070 3.983 0.630
Na 2.521 1.328 5.703
Na 3.962 3.983 4.165
Hg -2.174 3.983 7.453
Hg 5.898 1.328 0.680
Sb 0.441 3.983 5.696
Sb 3.283 1.328 2.437

---

Q) 5
Lattice="5.526 0.000 0.000 0.000 5.526 0.000 0.000 0.000 5.526" Properties=species:S:1:pos:R:3 comment="Na3HgSb, optimized geometry, DFT PBE-GGA" crystal_system=cubic spacegroup="Pm-3m, No. 221" pbc="T T T"
Na 0.000 0.000 2.763
Na 0.000 2.763 0.000
Na 2.763 0.000 0.000
Hg 0.000 0.000 0.000
Sb 2.763 2.763 2.763

---

R) 5
Lattice="5.937 0.000 0.000 0.000 5.937 0.000 0.000 0.000 5.937" Properties=species:S:1:pos:R:3 comment="Na3HgSb, optimized geometry, DFT PBE-GGA" crystal_system=cubic spacegroup="Pm-3m, No. 221" pbc="T T T"
Na 0.000 0.000 2.968
Na 0.000 2.968 0.000
Na 2.968 0.000 0.000
Hg 2.968 2.968 2.968
Sb 0.000 0.000 0.000

---

Most favorable structure: P). The second most favorable one is 11.1 kJ/mol of atoms above it.

---

P) 10
Lattice="5.435 0.000 0.000 0.411 7.011 0.000 2.653 2.614 7.321" Properties=species:S:1:pos:R:3 comment="NaHg3Sb, optimized geometry, DFT PBE-GGA" crystal_system=triclinic spacegroup="P-1, No. 2" pbc="T T T"
Na 1.507 4.046 1.991
Na 6.992 5.579 5.330
Hg 1.820 7.473 2.441
Hg 4.150 4.312 7.049
Hg 4.309 7.409 6.021
Hg 4.189 2.216 1.300
Hg 4.349 5.313 0.272
Hg 6.679 2.153 4.880
Sb 3.981 3.475 4.208
Sb 4.518 6.150 3.113

---

Q) 20
Lattice="8.904 0.000 0.000 0.000 7.152 0.000 -4.324 0.000 8.981" Properties=species:S:1:pos:R:3 comment="NaHg3Sb, optimized geometry, DFT PBE-GGA" crystal_system=monoclinic spacegroup="P2_1/c, No. 14" pbc="T T T"
Na 1.590 1.380 0.455
Na -0.572 2.196 4.945
Na 5.153 4.956 4.035
Na 2.991 5.772 8.526
Hg -0.480 3.943 2.150
Hg -2.642 6.785 6.640
Hg -0.056 4.207 7.380
Hg 2.106 6.521 2.889
Hg 0.037 1.050 7.885
Hg 2.199 2.526 3.394
Hg 2.381 4.627 5.587
Hg 4.543 6.102 1.096
Hg 2.475 0.631 6.091
Hg 4.637 2.945 1.601
Hg 7.222 0.367 2.341
Hg 5.060 3.209 6.831
Sb -2.774 4.957 8.798
Sb -0.612 5.772 4.308
Sb 5.193 1.380 4.673
Sb 7.355 2.196 0.183

---

R) 5
Lattice="5.725 0.000 0.000 0.000 5.725 0.000 0.000 0.000 5.725" Properties=species:S:1:pos:R:3 comment="NaHg3Sb, optimized geometry, DFT PBE-GGA" crystal_system=cubic spacegroup="Pm-3m, No. 221" pbc="T T T"
Na 0.000 0.000 0.000
Hg 0.000 2.863 2.863
Hg 2.863 0.000 2.863
Hg 2.863 2.863 0.000
Sb 2.863 2.863 2.863

---

Most favorable structure: P). The second most favorable one is 0.8 kJ/mol of atoms above it.

---

P) 9
Lattice="5.590 -2.479 0.000 5.590 2.479 0.000 -4.385 0.000 8.685" Properties=species:S:1:pos:R:3 comment="Na3Hg4Sb2, optimized geometry, DFT PBE-GGA" crystal_system=monoclinic spacegroup="C2/m, No. 12" pbc="T T T"
Na 0.000 0.000 0.000
Na 2.361 0.000 2.842
Na 4.434 0.000 5.844
Hg -0.896 0.000 3.699
Hg -0.839 0.000 8.544
Hg 7.634 0.000 0.141
Hg 7.691 0.000 4.986
Sb 1.134 0.000 6.297
Sb 5.660 0.000 2.389

---

Q) 9
Lattice="5.091 0.000 0.000 -2.531 5.713 0.000 -0.113 -2.282 8.387" Properties=species:S:1:pos:R:3 comment="Na3Hg4Sb2, optimized geometry, DFT PBE-GGA" crystal_system=triclinic spacegroup="P-1, No. 2" pbc="T T T"
Na 0.000 0.000 0.000
Na -0.057 3.516 5.578
Na 2.505 -0.085 2.809
Hg -0.053 0.140 4.861
Hg -0.084 1.729 8.184
Hg 2.532 1.703 0.203
Hg 2.500 3.291 3.526
Sb -0.045 2.245 2.308
Sb 2.492 1.187 6.079

---

Most favorable structure: P). The second most favorable one is 4.0 kJ/mol of atoms above it.